The following is a PBE-GGA calculation of a relaxed structure of BTe2P, from Alexandria.

Computed properties:
- DFT total energy (eV per atom) = -3.356
- SG = Fm-3m, No. 225

a b c (Å): 4.7883 4.7883 4.7883
angles (deg): 60.00 60.00 60.00
Last column: nearest neighbours and their distance in Å.
Fractional coordinates of all 4 atoms:
B  0.0000  0.0000  0.0000  8 Te 2.93
Te  0.2500  0.2500  0.2500  4 P 2.93, 4 B 2.93
Te  0.7500  0.7500  0.7500  4 P 2.93, 4 B 2.93
P  0.5000  0.5000  0.5000  8 Te 2.93

***

The following is a PBE-GGA calculation of a relaxed structure of AsSeCl2, from Alexandria.

Computed properties:
- DFT total energy (eV per atom) = -2.444
- SG = Pmmm, No. 47

a b c (Å): 3.0683 4.2550 6.1763
angles (deg): 90.00 90.00 90.00
Last column: nearest neighbours and their distance in Å.
Fractional coordinates of all 4 atoms:
As  0.0000  0.0000  0.0000  8 Cl 3.01, 2 As 3.07, 2 Se 3.09
Se  0.0000  0.0000  0.5000  2 Se 3.07, 8 Cl 3.08, 2 As 3.09
Cl  0.5000  0.5000  0.2376  4 Cl 2.94-3.24, 4 As 3.01, 4 Se 3.08
Cl  0.5000  0.5000  0.7624  4 Cl 2.94-3.24, 4 As 3.01, 4 Se 3.08

***

The following is a PBE-GGA calculation of a relaxed structure of NaMnAgBr5, from Alexandria.

Computed properties:
- DFT total energy (eV per atom) = -3.458
- SG = C2/c, No. 15

a b c (Å): 7.8259 7.8259 9.6665
angles (deg): 102.41 102.41 107.33
Last column: nearest neighbours and their distance in Å.
Fractional coordinates of all 16 atoms:
Na  0.1835  0.8165  0.7500  5 Br 2.93-3.20
Na  0.8165  0.1835  0.2500  5 Br 2.93-3.20
Mn  0.1378  0.8622  0.2500  4 Br 2.41
Mn  0.8622  0.1378  0.7500  4 Br 2.41
Ag  0.5000  0.5000  0.0000  4 Br 2.64-2.89
Ag  0.5000  0.5000  0.5000  4 Br 2.64-2.89
Br  0.1567  0.1804  0.9203  1 Mn 2.41
Br  0.1804  0.1567  0.4203  1 Mn 2.41
Br  0.2117  0.6930  0.4207  1 Mn 2.41
Br  0.3070  0.7883  0.0793  1 Mn 2.41
Br  0.4156  0.5844  0.7500  2 Ag 2.64, 1 Na 2.93
Br  0.5844  0.4156  0.2500  2 Ag 2.64, 1 Na 2.93
Br  0.6930  0.2117  0.9207  1 Mn 2.41
Br  0.7883  0.3070  0.5793  1 Mn 2.41
Br  0.8196  0.8433  0.5797  1 Mn 2.41
Br  0.8433  0.8196  0.0797  1 Mn 2.41

***

The following is a PBE-GGA calculation of a relaxed structure of MnBi2Pd8, from Alexandria.

Computed properties:
- DFT total energy (eV per atom) = -5.416
- energy of formation (eV/atom) = -0.100
- SG = C2/m, No. 12

a b c (Å): 7.5319 7.5319 4.4500
angles (deg): 100.33 100.33 121.45
Last column: nearest neighbours and their distance in Å.
Fractional coordinates of all 11 atoms:
Mn  0.0000  0.0000  0.0000  4 Pd 2.60-2.61
Bi  0.3122  0.6878  0.5000  6 Pd 2.68-2.82
Bi  0.6878  0.3122  0.5000  6 Pd 2.68-2.82
Pd  0.0924  0.3021  0.6139  1 Bi 2.69, 5 Pd 2.70-2.90, 2 Mn 2.93-2.96
Pd  0.1978  0.8022  0.0000  1 Mn 2.60, 2 Bi 2.68, 4 Pd 2.86-2.90
Pd  0.3021  0.0924  0.6139  1 Bi 2.69, 5 Pd 2.70-2.90, 2 Mn 2.93-2.96
Pd  0.3801  0.3801  0.1832  1 Mn 2.61, 4 Pd 2.72-2.81, 2 Bi 2.82
Pd  0.6199  0.6199  0.8168  1 Mn 2.61, 4 Pd 2.72-2.81, 2 Bi 2.82
Pd  0.6979  0.9076  0.3861  1 Bi 2.69, 5 Pd 2.70-2.90, 2 Mn 2.93-2.96
Pd  0.8022  0.1978  0.0000  1 Mn 2.60, 2 Bi 2.68, 4 Pd 2.86-2.90
Pd  0.9076  0.6979  0.3861  1 Bi 2.69, 5 Pd 2.70-2.90, 2 Mn 2.93-2.96

***

The following is a PBE-GGA calculation of a relaxed structure of GePd2O, from Alexandria.

Computed properties:
- DFT total energy (eV per atom) = -5.190
- SG = Fm-3m, No. 225

a b c (Å): 4.2079 4.2079 4.2079
angles (deg): 60.00 60.00 60.00
Last column: nearest neighbours and their distance in Å.
Fractional coordinates of all 4 atoms:
Ge  0.0000  0.0000  0.0000  8 Pd 2.58
Pd  0.2500  0.2500  0.2500  4 Ge 2.58, 4 O 2.58
Pd  0.7500  0.7500  0.7500  4 Ge 2.58, 4 O 2.58
O  0.5000  0.5000  0.5000  8 Pd 2.58

***

The following is a PBE-GGA calculation of a relaxed structure of Tm4Sn2Ir, from Alexandria.

Computed properties:
- DFT total energy (eV per atom) = -5.675
- energy of formation (eV/atom) = -0.711
- SG = C2/m, No. 12

a b c (Å): 6.0308 6.0308 8.6263
angles (deg): 121.46 121.46 44.70
Last column: nearest neighbours and their distance in Å.
Fractional coordinates of all 7 atoms:
Tm  0.0682  0.0682  0.3576  1 Ir 2.73
Tm  0.3326  0.3326  0.9448  2 Ir 2.82, 2 Sn 3.07
Tm  0.6674  0.6674  0.0552  2 Ir 2.82, 2 Sn 3.07
Tm  0.9318  0.9318  0.6424  1 Ir 2.73
Sn  0.3402  0.3402  0.3299  8 Tm 3.07-3.33, 1 Sn 3.08, 1 Ir 3.21
Sn  0.6598  0.6598  0.6701  8 Tm 3.07-3.33, 1 Sn 3.08, 1 Ir 3.21
Ir  0.0000  0.0000  0.0000  6 Tm 2.73-2.82